{
  "formula": "La5Si2Pb2",
  "functional": "PBE",
  "state": "relaxed",
  "lattice_angstrom": [[8.118, -4.135, 0.000], [8.118, 4.135, 0.000], [0.000, 0.000, 8.289]],
  "species": ["La", "La", "La", "La", "La", "La", "La", "La", "La", "La", "Si", "Si", "Si", "Si", "Pb", "Pb", "Pb", "Pb"],
  "frac_coords": [[0.000, 0.000, 0.000], [0.054, 0.690, 0.679], [0.190, 0.554, 0.179], [0.310, 0.946, 0.679], [0.446, 0.810, 0.179], [0.500, 0.500, 0.500], [0.554, 0.190, 0.821], [0.690, 0.054, 0.321], [0.810, 0.446, 0.821], [0.946, 0.310, 0.321], [0.109, 0.891, 0.389], [0.391, 0.609, 0.889], [0.609, 0.391, 0.111], [0.891, 0.109, 0.611], [0.215, 0.215, 0.000], [0.285, 0.285, 0.500], [0.715, 0.715, 0.500], [0.785, 0.785, 0.000]]
}



{
  "formula": "La4SiPb",
  "functional": "PBE",
  "state": "relaxed",
  "lattice_angstrom": [[0.000, 4.527, 4.527], [4.527, 0.000, 4.527], [4.527, 4.527, 0.000]],
  "species": ["La", "La", "La", "La", "Si", "Pb"],
  "frac_coords": [[0.125, 0.125, 0.125], [0.125, 0.125, 0.624], [0.125, 0.624, 0.125], [0.624, 0.125, 0.125], [0.500, 0.500, 0.500], [0.750, 0.750, 0.750]],
  "e_above_lowest_polymorph_mev_per_atom": 668
}



{
  "formula": "La7Si2Pb2",
  "functional": "PBE",
  "state": "relaxed",
  "lattice_angstrom": [[4.445, -5.861, 0.000], [4.445, 5.861, 0.000], [0.000, 0.000, 7.119]],
  "species": ["La", "La", "La", "La", "La", "La", "La", "Si", "Si", "Pb", "Pb"],
  "frac_coords": [[0.000, 0.000, 0.000], [0.000, 0.500, 0.276], [0.000, 0.500, 0.724], [0.500, 0.000, 0.276], [0.500, 0.000, 0.724], [0.500, 0.500, 0.234], [0.500, 0.500, 0.766], [0.269, 0.731, 0.000], [0.731, 0.269, 0.000], [0.178, 0.178, 0.500], [0.822, 0.822, 0.500]]
}



{
  "formula": "La2SiPb2",
  "functional": "PBE",
  "state": "relaxed",
  "lattice_angstrom": [[8.085, 0.000, 0.000], [0.000, 8.085, 0.000], [0.000, 0.000, 4.996]],
  "species": ["La", "La", "La", "La", "Si", "Si", "Pb", "Pb", "Pb", "Pb"],
  "frac_coords": [[0.171, 0.329, 0.000], [0.329, 0.829, 0.000], [0.671, 0.171, 0.000], [0.829, 0.671, 0.000], [0.000, 0.000, 0.000], [0.500, 0.500, 0.000], [0.139, 0.639, 0.500], [0.361, 0.139, 0.500], [0.639, 0.861, 0.500], [0.861, 0.361, 0.500]],
  "e_above_lowest_polymorph_mev_per_atom": 44
}



{
  "formula": "La4Si2Pb5",
  "functional": "PBE",
  "state": "relaxed",
  "lattice_angstrom": [[7.854, 0.000, 0.000], [0.000, 4.442, 0.000], [-0.857, 0.000, 9.387]],
  "species": ["La", "La", "La", "La", "Si", "Si", "Pb", "Pb", "Pb", "Pb", "Pb"],
  "frac_coords": [[0.211, 0.000, 0.350], [0.224, 0.000, 0.910], [0.776, 0.000, 0.090], [0.789, 0.000, 0.650], [0.080, 0.500, 0.114], [0.920, 0.500, 0.886], [0.137, 0.500, 0.634], [0.450, 0.500, 0.160], [0.500, 0.500, 0.500], [0.550, 0.500, 0.840], [0.863, 0.500, 0.366]]
}



{
  "formula": "LaSi2Pb",
  "functional": "PBE",
  "state": "relaxed",
  "lattice_angstrom": [[3.683, 0.000, 0.000], [0.000, 3.683, 0.000], [0.000, 0.000, 6.919]],
  "species": ["La", "Si", "Si", "Pb"],
  "frac_coords": [[0.000, 0.000, 0.000], [0.000, 0.000, 0.584], [0.500, 0.500, 0.732], [0.500, 0.500, 0.338]]
}



{
  "formula": "LaSi2Pb",
  "functional": "PBE",
  "state": "relaxed",
  "lattice_angstrom": [[0.000, 3.679, 3.679], [3.679, 0.000, 3.679], [3.679, 3.679, 0.000]],
  "species": ["La", "Si", "Si", "Pb"],
  "frac_coords": [[0.000, 0.000, 0.000], [0.500, 0.500, 0.500], [0.750, 0.750, 0.750], [0.250, 0.250, 0.250]]
}



{
  "formula": "LaSi2Pb",
  "functional": "PBE",
  "state": "relaxed",
  "lattice_angstrom": [[3.878, 0.000, 0.000], [0.000, 3.878, 0.000], [0.000, 0.000, 6.455]],
  "species": ["La", "Si", "Si", "Pb"],
  "frac_coords": [[0.000, 0.000, 0.000], [0.500, 0.500, 0.302], [0.500, 0.500, 0.698], [0.000, 0.000, 0.500]]
}



| no. | magnetic moment (μB per formula unit) | ΔE_f (raw) (eV/atom) | total DFT energy (no corrections) (eV/atom) |
| --- | --- | --- | --- |
| 1 | 0.0 | -0.64 | -5.404 |
| 2 | 0.0 | 0.18 | -4.627 |
| 3 | 0.0 | -0.38 | -5.178 |
| 4 | 0.0 | -0.30 | -4.836 |
| 5 | 0.0 | -0.54 | -5.006 |
| 6 | 0.0 | -0.05 | -4.919 |
| 7 | 0.0 | 0.22 | -4.651 |
| 8 | 0.0 | -0.07 | -4.938 |